Arrangement w

The following is a DFT calculation (PBE-GGA) of a relaxed Ho3Mg4Cd4 crystal.

Cell: 3.420 4.997 15.893 Å, 98.99 96.15 90.01°
Space group P-1 (No. 2)
Unique sites:
Ho 0.000 0.000 0.000
Ho 0.141 0.640 0.281
Mg 0.264 0.264 0.528
Mg 0.406 0.908 0.816
Cd 0.316 0.817 0.633
Cd 0.453 0.453 0.906

## Properties
crystal system = triclinic
volume = 267 Å³/f.u.
N(E_F) = 6.999 states/eV per cell
magnetization = 0.00 μB per atom

Arrangement x

The following is a DFT calculation (PBE-GGA) of a relaxed Ho3Mg4Cd4 crystal.

Cell: 4.548 7.752 15.431 Å, 90.00 90.00 90.00°
Space group Immm (No. 71)
Unique sites:
Ho 0.000 0.000 0.000
Ho 0.000 0.500 0.118
Mg 0.000 0.306 0.327
Cd 0.000 0.000 0.222
Cd 0.000 0.193 0.500

## Properties
crystal system = orthorhombic
volume = 272 Å³/f.u.
N(E_F) = 17.575 states/eV per cell
magnetization = 0.00 μB per atom

Q: Which of them is the most stable? A: arrangement w.

Arrangement w

The following is a DFT calculation (PBE-GGA) of a relaxed Ho3MgCd4 crystal.

Cell: 5.121 5.121 7.528 Å, 90.00 90.00 90.00°
Space group P4/mmm (No. 123)
Unique sites:
Ho 0.000 0.000 0.000
Ho 0.000 0.000 0.500
Ho 0.500 0.500 0.000
Mg 0.500 0.500 0.500
Cd 0.000 0.500 0.261

## Properties
crystal system = tetragonal
volume = 197 Å³/f.u.
N(E_F) = 3.922 states/eV per cell
magnetization = 0.00 μB per atom

Arrangement x

The following is a DFT calculation (PBE-GGA) of a relaxed Ho3MgCd4 crystal.

Cell: 3.395 6.356 19.563 Å, 90.00 90.00 90.00°
Space group Immm (No. 71)
Unique sites:
Ho 0.000 0.000 0.000
Ho 0.000 0.500 0.236
Mg 0.000 0.000 0.500
Cd 0.000 0.259 0.378

## Properties
crystal system = orthorhombic
volume = 211 Å³/f.u.
N(E_F) = 12.677 states/eV per cell
magnetization = 0.00 μB per atom

Q: Which of them is the most stable? A: arrangement w.

Arrangement w

The following is a DFT calculation (PBE-GGA) of a relaxed Ho2MgCd3 crystal.

Cell: 10.270 10.643 5.623 Å, 90.00 90.00 90.00°
Space group Cmcm (No. 63)
Unique sites:
Ho 0.161 0.213 0.250
Mg 0.000 0.321 0.750
Cd 0.000 0.060 0.750
Cd 0.174 0.500 0.000

## Properties
crystal system = orthorhombic
volume = 154 Å³/f.u.
N(E_F) = 15.696 states/eV per cell
magnetization = 0.00 μB per atom

Arrangement x

The following is a DFT calculation (PBE-GGA) of a relaxed Ho2MgCd3 crystal.

Cell: 5.1324 5.1324 12.7357 Å, 90.00 90.00 120.00°
Space group P-3m1 (No. 164)
Unique sites:
Ho 0.0000 0.0000 0.0000
Ho 0.0000 0.0000 0.5000
Ho 0.3333 0.6667 0.1741
Mg 0.3333 0.6667 0.6626
Cd 0.0000 0.0000 0.2545
Cd 0.3333 0.6667 0.4188
Cd 0.3333 0.6667 0.9147

## Properties
crystal system = trigonal
volume = 145 Å³/f.u.
N(E_F) = 7.349 states/eV per cell
magnetization = 0.00 μB per atom

Q: Which of them is the most stable? A: arrangement x.

Arrangement w

The following is a DFT calculation (PBE-GGA) of a relaxed HoMg2Cd3 crystal.

Cell: 10.953 8.647 6.142 Å, 90.00 90.00 90.00°
Space group Cmcm (No. 63)
Unique sites:
Ho 0.000 0.124 0.250
Mg 0.229 0.500 0.000
Cd 0.000 0.485 0.250
Cd 0.135 0.218 0.750

## Properties
crystal system = orthorhombic
volume = 145 Å³/f.u.
N(E_F) = 11.879 states/eV per cell
magnetization = 0.00 μB per atom

Arrangement x

The following is a DFT calculation (PBE-GGA) of a relaxed HoMg2Cd3 crystal.

Cell: 4.9120 4.9120 13.2302 Å, 90.00 90.00 120.00°
Space group P6_3/mmc (No. 194)
Unique sites:
Ho 0.0000 0.0000 0.2500
Mg 0.3333 0.6667 0.0998
Cd 0.0000 0.0000 0.0000
Cd 0.3333 0.6667 0.6360

## Properties
crystal system = hexagonal
volume = 138 Å³/f.u.
N(E_F) = 6.432 states/eV per cell
magnetization = 0.00 μB per atom

Q: Which of them is the most stable? A: arrangement x.